No. 1
Computed, not measured: a relaxed BaNa2Cu2 crystal at the PBE level of DFT.

a b c (Å): 7.928 7.928 4.675
angles (deg): 90.00 90.00 90.00
Fractional coordinates of all 10 atoms:
Ba: 0.000 0.000 0.000
Ba: 0.500 0.500 0.000
Na: 0.149 0.351 0.500
Na: 0.351 0.851 0.500
Na: 0.649 0.149 0.500
Na: 0.851 0.649 0.500
Cu: 0.107 0.607 0.000
Cu: 0.393 0.107 0.000
Cu: 0.607 0.893 0.000
Cu: 0.893 0.393 0.000

D(E_F) = 0.148 states/eV per atom
space group = P4/mbm
total moment = 0.0 μB per formula unit
polymorph energy (0 for the lowest one) = 0.134 eV/atom
crystal system = tetragonal


No. 2
Computed, not measured: a relaxed Ba6NaCu2 crystal at the PBE level of DFT.

a b c (Å): 10.273 10.273 10.273
angles (deg): 112.75 108.55 107.16
Fractional coordinates of all 18 atoms:
Ba: 0.007 0.219 0.788
Ba: 0.182 0.301 0.483
Ba: 0.182 0.699 0.882
Ba: 0.318 0.012 0.694
Ba: 0.318 0.624 0.306
Ba: 0.431 0.219 0.212
Ba: 0.569 0.781 0.788
Ba: 0.682 0.376 0.694
Ba: 0.682 0.988 0.306
Ba: 0.818 0.301 0.118
Ba: 0.818 0.699 0.517
Ba: 0.993 0.781 0.212
Na: 0.000 0.000 0.000
Na: 0.500 0.500 0.000
Cu: 0.104 0.604 0.500
Cu: 0.394 0.000 0.394
Cu: 0.606 0.000 0.606
Cu: 0.896 0.396 0.500

D(E_F) = 1.094 states/eV per atom
space group = Immm
total moment = 0.0 μB per formula unit
crystal system = orthorhombic


| no. | ΔE_f (eV per atom) |
| --- | --- |
| 1 | 0.226 |
| 2 | 0.003 |